(1)
Here is a relaxed MgAlV2H crystal from Alexandria via LeMat-Bulk. Energies are from PBE-GGA.

Lattice parameters (Å, degrees): 5.0415 4.8834 5.0415 90.00 90.00 90.00
Last column: nearest neighbours and their distance in Å.
Fractional coordinates of all 5 atoms:
H: 0.5000 0.5000 0.5000  8 V 3.51, 4 Al 3.56
Mg: 0.0000 0.0000 0.0000  2 Al 2.44, 4 V 2.52
Al: 0.0000 0.5000 0.0000  2 Mg 2.44
V: 0.0000 0.0000 0.5000  2 Mg 2.52
V: 0.5000 0.0000 0.0000  2 Mg 2.52

V, Å³ per atom: 24.82
Energy above the most stable polymorph in this dataset, eV per atom: 1.972

---

(2)
Here is a relaxed MgAlHW2 crystal from Alexandria via LeMat-Bulk. Energies are from PBE-GGA.

Lattice parameters (Å, degrees): 4.6144 4.9526 4.6144 90.00 90.00 90.00
Last column: nearest neighbours and their distance in Å.
Fractional coordinates of all 5 atoms:
H: 0.5000 0.5000 0.5000  4 Mg 3.26, 8 W 3.38
Mg: 0.0000 0.5000 0.0000  2 Al 2.48
Al: 0.0000 0.0000 0.0000  4 W 2.31, 2 Mg 2.48
W: 0.0000 0.0000 0.5000  2 Al 2.31
W: 0.5000 0.0000 0.0000  2 Al 2.31

V, Å³ per atom: 21.09
Energy, eV/atom: -4.588

---

(3)
Here is a relaxed YMg2AlH crystal from Alexandria via LeMat-Bulk. Energies are from PBE-GGA.

Lattice parameters (Å, degrees): 4.4698 4.4698 4.5324 90.00 90.00 90.00
Last column: nearest neighbours and their distance in Å.
Fractional coordinates of all 5 atoms:
Y: 0.0000 0.0000 0.5000  2 H 2.27
H: 0.0000 0.0000 0.0000  4 Mg 2.23, 2 Y 2.27
Mg: 0.0000 0.5000 0.0000  2 H 2.23
Mg: 0.5000 0.0000 0.0000  2 H 2.23
Al: 0.5000 0.5000 0.5000  4 Y 3.16, 8 Mg 3.18

V, Å³ per atom: 18.11
Energy, eV/atom: -3.600

---

Number 1: magnetic moment 6.883 μB per formula unit. Number 2: magnetic moment 0.000 μB per formula unit. Number 3: magnetic moment 0.000 μB per formula unit.